1.
This record from Alexandria via LeMat-Bulk describes SmU2MoC4 after structural relaxation. The functional is PBE-GGA.

CIF file:
```
data_SmU2MoC4
_chemical_formula_sum 'Sm2 U4 Mo2 C8'
_cell_length_a 6.1380
_cell_length_b 6.1380
_cell_length_c 11.4449
_cell_angle_alpha 90.00
_cell_angle_beta 90.00
_cell_angle_gamma 145.49
_space_group_name_H-M_alt 'P 1'
_space_group_IT_number 1
loop_
_space_group_symop_operation_xyz
'x,y,z'
loop_
_atom_site_label
_atom_site_type_symbol
_atom_site_fract_x
_atom_site_fract_y
_atom_site_fract_z
_atom_site_occupancy
Sm1 Sm 0.1264 0.8736 0.7500 1
Sm2 Sm 0.8736 0.1264 0.2500 1
U1 U 0.3731 0.6269 0.5441 1
U2 U 0.3731 0.6269 0.9559 1
U3 U 0.6269 0.3731 0.0441 1
U4 U 0.6269 0.3731 0.4559 1
Mo1 Mo 0.1363 0.8637 0.2500 1
Mo2 Mo 0.8637 0.1363 0.7500 1
C1 C 0.0000 0.0000 0.0000 1
C2 C 0.0000 0.0000 0.5000 1
C3 C 0.2558 0.7442 0.1166 1
C4 C 0.2558 0.7442 0.3834 1
C5 C 0.4488 0.5512 0.7500 1
C6 C 0.5512 0.4488 0.2500 1
C7 C 0.7442 0.2558 0.6166 1
C8 C 0.7442 0.2558 0.8834 1
```

Summary:
The total energy comes out at -150.08 eV/cell.

***

2.
This record from Alexandria via LeMat-Bulk describes Pd2PtRh2 after structural relaxation. The functional is PBE-GGA.

CIF file:
```
data_Pd2PtRh2
_chemical_formula_sum 'Pd4 Pt2 Rh4'
_cell_length_a 7.5122
_cell_length_b 7.5122
_cell_length_c 2.7988
_cell_angle_alpha 90.00
_cell_angle_beta 90.00
_cell_angle_gamma 90.00
_space_group_name_H-M_alt 'P 1'
_space_group_IT_number 1
loop_
_space_group_symop_operation_xyz
'x,y,z'
loop_
_atom_site_label
_atom_site_type_symbol
_atom_site_fract_x
_atom_site_fract_y
_atom_site_fract_z
_atom_site_occupancy
Pd1 Pd 0.1257 0.3743 0.0000 1
Pd2 Pd 0.3743 0.8743 0.0000 1
Pd3 Pd 0.6257 0.1257 0.0000 1
Pd4 Pd 0.8743 0.6257 0.0000 1
Pt1 Pt 0.0000 0.0000 0.0000 1
Pt2 Pt 0.5000 0.5000 0.0000 1
Rh1 Rh 0.1731 0.6731 0.5000 1
Rh2 Rh 0.3269 0.1731 0.5000 1
Rh3 Rh 0.6731 0.8269 0.5000 1
Rh4 Rh 0.8269 0.3269 0.5000 1
```

Summary:
Its polymorph energy (0 for the lowest one) is 376.9 meV/atom. The total energy comes out at -58.55 eV/cell.

***

no.,density of states at the Fermi level (states/eV per cell)
1,16.5
2,16.3